## CePrDy2Tm (PBE-GGA)

Data for crystalline CePrDy2Tm at its relaxed geometry.

Computed properties:
- space-group type = No. 51
- E (eV per atom) = -4.60
- total magnetization (μB per formula unit) = 1.61

Unit cell a=7.226 b=7.754 c=5.871 alpha=90.00 beta=90.00 gamma=90.00
Each line ends with the local moment (μB).
Atoms (fractional coordinates):
1 Dy 0.677 0.711 0.750  0.05
2 Ce 0.000 0.000 0.500  1.02
3 Dy 0.323 0.289 0.250  0.05
4 Dy 0.323 0.711 0.250  0.05
5 Ce 0.000 0.000 0.000  1.02
6 Pr 0.164 0.500 0.750  0.00
7 Dy 0.677 0.289 0.750  0.05
8 Tm 0.386 0.000 0.750  0.11
9 Tm 0.614 0.000 0.250  0.11
10 Pr 0.836 0.500 0.250  0.00